# 1
Computed, not measured: a relaxed structure of CdRhW2 at the PBE-GGA level of DFT.

## Properties
mass density = 14.79 g/cm3
formation energy = 0.28 eV/atom
DFT total energy = -8.2611 eV/atom
space-group type = No. 123

Geometry as POSCAR:
```
CdRhW2
1.0
2.779 0.000 0.000
0.000 2.779 0.000
0.000 0.000 8.475
Cd Rh W
1 1 2
direct
0.000 0.000 0.000
0.000 0.000 0.500
0.500 0.500 0.270
0.500 0.500 0.730
```



# 2
Computed, not measured: a relaxed structure of KNiS2N at the PBE-GGA level of DFT.

## Properties
mass density = 1.96 g/cm3
DFT total energy = -2.5764 eV/atom
space-group type = No. 123
polymorph energy (0 for the lowest one) = 1.8079 eV/atom
energy relative to the elements, uncorrected = 2.12 eV/atom

Geometry as POSCAR:
```
KNiS2N
1.0
5.566 0.000 0.000
0.000 5.566 0.000
0.000 0.000 4.815
K Ni S N
1 1 2 1
direct
0.000 0.000 0.000
0.500 0.500 0.500
0.000 0.500 0.000
0.500 0.000 0.000
0.000 0.000 0.500
```



# 3
Computed, not measured: a relaxed structure of CdHg2Au at the PBE-GGA level of DFT.

## Properties
mass density = 12.75 g/cm3
formation energy = 0.00 eV/atom
DFT total energy = -1.2035 eV/atom
space-group type = No. 11
polymorph energy (0 for the lowest one) = 0.0019 eV/atom

Geometry as POSCAR:
```
CdHg2Au
1.0
3.900 0.000 0.000
0.000 9.349 0.000
-1.804 0.000 5.077
Cd Hg Au
2 4 2
direct
0.045 0.250 0.079
0.955 0.750 0.921
0.354 0.046 0.728
0.354 0.454 0.728
0.646 0.546 0.272
0.646 0.954 0.272
0.251 0.750 0.500
0.749 0.250 0.500
```



# 4
Computed, not measured: a relaxed structure of Al2ReW2 at the PBE-GGA level of DFT.

## Properties
mass density = 13.42 g/cm3
formation energy = 0.22 eV/atom
DFT total energy = -8.9430 eV/atom
space-group type = No. 127

Geometry as POSCAR:
```
Al2ReW2
1.0
6.702 0.000 0.000
0.000 6.702 0.000
0.000 0.000 3.350
Al Re W
4 2 4
direct
0.130 0.370 0.000
0.370 0.870 0.000
0.630 0.130 0.000
0.870 0.630 0.000
0.000 0.000 0.000
0.500 0.500 0.000
0.169 0.669 0.500
0.331 0.169 0.500
0.669 0.831 0.500
0.831 0.331 0.500
```



# 5
Computed, not measured: a relaxed structure of Mn2SnBr6 at the PBE-GGA level of DFT.

## Properties
mass density = 3.58 g/cm3
DFT total energy = -4.3328 eV/atom
space-group type = No. 12
polymorph energy (0 for the lowest one) = 0.0315 eV/atom
energy relative to the elements, uncorrected = -0.74 eV/atom

Geometry as POSCAR:
```
Mn2SnBr6
1.0
6.904 -2.111 0.000
6.904 2.111 0.000
-1.148 0.000 11.279
Mn Sn Br
2 1 6
direct
0.212 0.212 0.225
0.788 0.788 0.775
0.500 0.500 0.500
0.139 0.139 0.424
0.347 0.347 0.883
0.391 0.391 0.261
0.609 0.609 0.739
0.653 0.653 0.117
0.861 0.861 0.576
```



# 6
Computed, not measured: a relaxed structure of NaTlSn at the PBE-GGA level of DFT.

## Properties
mass density = 6.75 g/cm3
formation energy = -0.11 eV/atom
DFT total energy = -2.6683 eV/atom
space-group type = No. 5

Geometry as POSCAR:
```
NaTlSn
1.0
2.462 -6.963 0.000
2.462 6.963 0.000
-2.446 0.000 2.483
Na Tl Sn
1 1 1
direct
0.000 0.000 0.000
0.676 0.324 0.000
0.334 0.666 0.000
```



# 7
Computed, not measured: a relaxed structure of Ac4PtBr5 at the PBE-GGA level of DFT.

## Properties
mass density = 6.33 g/cm3
DFT total energy = -4.6708 eV/atom
space-group type = No. 12
energy relative to the elements, uncorrected = -1.59 eV/atom

Geometry as POSCAR:
```
Ac4PtBr5
1.0
10.193 -2.175 0.000
10.193 2.175 0.000
-2.712 0.000 8.889
Ac Pt Br
4 1 5
direct
0.004 0.004 0.283
0.344 0.344 0.383
0.656 0.656 0.617
0.996 0.996 0.717
0.500 0.500 0.500
0.165 0.165 0.873
0.176 0.176 0.366
0.500 0.500 0.000
0.824 0.824 0.634
0.835 0.835 0.127
```



# 8
Computed, not measured: a relaxed structure of PuCdPt at the PBE-GGA level of DFT.

## Properties
mass density = 13.82 g/cm3
formation energy = -0.40 eV/atom
DFT total energy = -7.4987 eV/atom
space-group type = No. 107

Geometry as POSCAR:
```
PuCdPt
1.0
-1.692 1.692 5.788
1.692 -1.692 5.788
1.692 1.692 -5.788
Pu Cd Pt
1 1 1
direct
0.000 0.000 0.000
0.707 0.707 0.000
0.351 0.351 0.000
```